1.
PBE AcPr2Te3, optimized geometry; symmetry = No. 12; energy relative to the lowest polymorph listed for this composition = 0.000 eV/atom; formation energy from raw total energies = -1.45 eV/atom
1.0
-4.4562 -1.0125 0.6225
-1.0182 0.5423 -6.4073
4.1443 -6.4552 2.0830
Ac Pr Te
1 2 3
direct
0.0000 0.5000 0.0000
0.6635 0.1628 0.3271
0.3365 0.8372 0.6729
0.3269 0.3275 0.6537
0.0000 0.0000 0.0000
0.6731 0.6725 0.3463

***

2.
PBE AcPrTe2, optimized geometry; symmetry = No. 123; energy relative to the lowest polymorph listed for this composition = 0.102 eV/atom; formation energy from raw total energies = -1.36 eV/atom
1.0
3.9905 0.0000 0.0000
0.0000 3.9905 0.0000
0.0000 0.0000 7.9781
Pr Ac Te
1 1 2
direct
0.5000 0.5000 0.0000
0.5000 0.5000 0.5000
0.0000 0.0000 0.7601
0.0000 0.0000 0.2399

***

3.
PBE AcPr5Te8, optimized geometry; symmetry = No. 82; formation energy from raw total energies = -1.47 eV/atom
1.0
-2.5625 -7.9687 -0.3021
7.0326 0.8518 -4.4693
1.4656 2.1433 7.9634
Ac Pr Te
1 5 8
direct
0.2500 0.5000 0.7500
0.9946 0.3699 0.1242
0.8758 0.8704 0.2457
0.7543 0.6301 0.6247
0.5000 0.0000 0.5000
0.3753 0.1296 0.0054
0.1210 0.7512 0.0286
0.9714 0.0924 0.7226
0.7705 0.2484 0.3729
0.6271 0.3976 0.8755
0.4779 0.6024 0.2295
0.6302 0.9076 0.8790
0.2774 0.2488 0.3698
0.1245 0.7516 0.5221

***

4.
PBE Ac4PrTe6, optimized geometry; symmetry = No. 167; formation energy from raw total energies = -1.45 eV/atom
1.0
9.2611 -0.0954 0.0184
-0.0183 9.2616 0.0184
0.0962 0.0954 9.2606
Ac Pr Te
8 2 12
direct
0.3596 0.1404 0.2500
0.8596 0.2500 0.3596
0.2500 0.6404 0.1404
0.2500 0.2500 0.7500
0.7500 0.7500 0.2500
0.7500 0.3596 0.8596
0.1404 0.7500 0.6404
0.6404 0.8596 0.7500
0.5000 0.5000 0.5000
0.0000 0.0000 0.0000
0.6768 0.0605 0.0830
0.0830 0.3232 0.0605
0.5830 0.4395 0.1768
0.9395 0.0830 0.6768
0.5605 0.1768 0.5830
0.1768 0.4170 0.4395
0.8232 0.5830 0.5605
0.4395 0.8232 0.4170
0.0605 0.9170 0.3232
0.4170 0.5605 0.8232
0.9170 0.6768 0.9395
0.3232 0.9395 0.9170

***

5.
PBE Ac2Pr3Te6, optimized geometry; symmetry = No. 12; formation energy from raw total energies = -1.50 eV/atom
1.0
7.5787 0.0000 2.2610
3.7894 6.8267 1.1305
0.3477 0.0000 8.0793
Ac Pr Te
2 3 6
direct
0.1653 0.6694 0.5000
0.8347 0.3306 0.5000
0.0000 0.0000 0.0000
0.3319 0.3362 0.0000
0.6681 0.6638 0.0000
0.4153 0.6757 0.7553
0.7384 0.0000 0.7561
0.0910 0.3243 0.7553
0.2616 0.0000 0.2439
0.5847 0.3243 0.2447
0.9090 0.6757 0.2447

***

6.
PBE AcPr4Te7, optimized geometry; symmetry = No. 8; formation energy from raw total energies = -1.45 eV/atom
1.0
4.4323 0.0000 0.0000
-2.2161 7.2874 -1.9174
0.0000 0.0481 13.7098
Ac Pr Te
1 4 7
direct
0.8853 0.7707 0.5784
0.7021 0.4043 0.8173
0.2988 0.5976 0.1867
0.0008 0.0015 0.0027
0.1152 0.2304 0.4170
0.7396 0.4793 0.3437
0.2505 0.5011 0.6520
0.3406 0.6812 0.9533
0.6612 0.3224 0.0489
0.0433 0.0866 0.7898
0.9589 0.9177 0.2158
0.5036 0.0072 0.4945

***

7.
PBE Ac3Pr4Te8, optimized geometry; symmetry = No. 12; formation energy from raw total energies = -1.48 eV/atom
1.0
-7.9562 4.4893 -0.8204
2.8520 -5.5644 -6.7999
0.7357 -6.9736 6.0135
Ac Pr Te
3 4 8
direct
0.5000 0.5000 0.0000
0.5000 0.0000 0.5000
0.5000 0.5000 0.5000
0.5000 0.0000 0.0000
0.0000 0.5000 0.0000
0.0000 0.0000 0.0000
0.0000 0.0000 0.5000
0.5014 0.2467 0.2467
0.0000 0.7490 0.2510
0.9926 0.2477 0.2477
0.5000 0.7539 0.2461
0.5000 0.2461 0.7539
0.0074 0.7523 0.7523
0.0000 0.2510 0.7490
0.4986 0.7533 0.7533

***

8.
PBE Ac3PrTe6, optimized geometry; symmetry = No. 11; energy relative to the lowest polymorph listed for this composition = 0.000 eV/atom; formation energy from raw total energies = -1.51 eV/atom
1.0
-1.3970 -4.3817 -0.8943
12.5738 -3.7713 -1.1635
-3.7291 -1.4710 13.0317
Ac Pr Te
6 2 12
direct
0.7500 0.4198 0.8295
0.2500 0.5802 0.1705
0.7500 0.6846 0.5059
0.2500 0.3154 0.4941
0.7500 0.1587 0.0777
0.2500 0.8413 0.9223
0.7500 0.0413 0.6874
0.2500 0.9587 0.3126
0.7500 0.4836 0.6177
0.2500 0.5164 0.3823
0.7500 0.9162 0.1075
0.2500 0.0838 0.8925
0.7500 0.4032 0.0687
0.2500 0.5968 0.9313
0.7500 0.7607 0.2874
0.2500 0.2393 0.7126
0.7500 0.1055 0.4633
0.2500 0.8945 0.5367
0.7500 0.8184 0.7512
0.2500 0.1816 0.2488

***

9.
PBE Ac4PrTe5, optimized geometry; symmetry = No. 79; energy relative to the lowest polymorph listed for this composition = 0.004 eV/atom; formation energy from raw total energies = -1.48 eV/atom
1.0
1.9597 3.6077 5.2343
-0.3503 -3.9590 7.0872
7.9385 -0.5596 1.6408
Ac Pr Te
4 1 5
direct
0.4035 0.3990 0.7955
0.8026 0.7955 0.6010
0.1990 0.2045 0.3990
0.5981 0.6010 0.2045
0.0020 0.0000 0.0000
0.9009 0.3930 0.8069
0.2938 0.8069 0.6070
0.7078 0.1931 0.3930
0.1007 0.6070 0.1931
0.5019 0.0000 0.0000

***

10.
PBE Ac5Pr3Te8, optimized geometry; symmetry = No. 166; formation energy from raw total energies = -1.47 eV/atom
1.0
8.0778 0.0000 4.6270
2.7137 7.6083 4.6270
0.0208 0.0147 9.3282
Ac Pr Te
5 3 8
direct
0.5000 0.0000 0.0000
0.5000 0.5000 0.0000
0.0000 0.0000 0.0000
0.0000 0.5000 0.0000
0.5000 0.5000 0.5000
0.5000 0.0000 0.5000
0.0000 0.0000 0.5000
0.0000 0.5000 0.5000
0.2500 0.2500 0.7421
0.2500 0.7579 0.7421
0.7579 0.2500 0.7421
0.7538 0.7538 0.7386
0.7500 0.7500 0.2579
0.7500 0.2421 0.2579
0.2421 0.7500 0.2579
0.2462 0.2462 0.2614

***

11.
PBE AcPr2Te5, optimized geometry; symmetry = No. 140; formation energy from raw total energies = -1.36 eV/atom
1.0
-7.3927 3.2834 2.5964
-3.8512 -7.3999 -1.6074
7.0285 -0.1504 6.3036
Ac Pr Te
2 4 10
direct
0.7500 0.7500 0.5000
0.2500 0.2500 0.5000
0.1526 0.3474 0.0000
0.6526 0.1526 0.0000
0.3474 0.8474 0.0000
0.8474 0.6526 0.0000
0.5055 0.6991 0.7046
0.8009 0.9945 0.2954
0.0000 0.0000 0.0000
0.5000 0.5000 0.0000
0.1991 0.0055 0.7046
0.6991 0.1991 0.7046
0.0055 0.5055 0.7046
0.3009 0.8009 0.2954
0.9945 0.4945 0.2954
0.4945 0.3009 0.2954

***

12.
PBE AcPr3Te4, optimized geometry; symmetry = No. 194; energy relative to the lowest polymorph listed for this composition = 0.004 eV/atom; formation energy from raw total energies = -1.44 eV/atom
1.0
-1.9733 0.8186 3.9762
-2.5213 -0.4974 -3.7108
-1.8558 -30.3715 5.3319
Pr Ac Te
6 2 8
direct
0.0000 0.0000 0.0000
0.0000 0.0000 0.5000
0.3333 0.6667 0.8797
0.6667 0.3333 0.1203
0.6667 0.3333 0.3797
0.3333 0.6667 0.6203
0.6667 0.3333 0.7500
0.3333 0.6667 0.2500
0.6667 0.3333 0.9396
0.3333 0.6667 0.0604
0.3333 0.6667 0.4396
0.6667 0.3333 0.5604
0.0000 0.0000 0.8184
0.0000 0.0000 0.1816
0.0000 0.0000 0.3184
0.0000 0.0000 0.6816

***

13.
PBE AcPrTe3, optimized geometry; symmetry = No. 62; energy relative to the lowest polymorph listed for this composition = 0.000 eV/atom; formation energy from raw total energies = -1.54 eV/atom
1.0
-1.9126 0.1316 -4.2495
-7.3260 -3.1351 3.2002
-5.7732 16.6698 3.1146
Ac Pr Te
4 4 12
direct
0.7500 0.8637 0.7994
0.2500 0.1363 0.2006
0.7500 0.3637 0.7006
0.2500 0.6363 0.2994
0.2500 0.2701 0.9576
0.2500 0.7701 0.5424
0.7500 0.2299 0.4576
0.7500 0.7299 0.0424
0.2500 0.3792 0.5619
0.7500 0.8461 0.2159
0.7500 0.4945 0.8931
0.7500 0.9945 0.6069
0.7500 0.6208 0.4381
0.2500 0.0055 0.3931
0.2500 0.8792 0.9381
0.7500 0.3461 0.2841
0.2500 0.6539 0.7159
0.2500 0.1539 0.7841
0.7500 0.1208 0.0619
0.2500 0.5055 0.1069

***

14.
PBE AcPr3Te4, optimized geometry; symmetry = No. 65; energy relative to the lowest polymorph listed for this composition = 0.000 eV/atom; formation energy from raw total energies = -1.45 eV/atom
1.0
4.5305 0.0000 0.0000
0.0000 7.9724 -0.0341
0.0000 -2.5459 7.5551
Ac Pr Te
1 3 4
direct
0.5000 0.0000 0.0000
0.0000 0.0000 0.5000
0.5000 0.5000 0.5000
0.0000 0.5000 0.0000
0.0000 0.2580 0.2580
0.5000 0.7462 0.2538
0.0000 0.7420 0.7420
0.5000 0.2538 0.7462

***

15.
PBE AcPrTe2, optimized geometry; symmetry = No. 225; energy relative to the lowest polymorph listed for this composition = 0.099 eV/atom; formation energy from raw total energies = -1.37 eV/atom
1.0
5.6393 0.0000 0.0000
2.8197 4.8838 0.0000
2.8197 1.6279 4.6045
Pr Ac Te
1 1 2
direct
0.5000 0.5000 0.5000
0.0000 0.0000 0.0000
0.2500 0.2500 0.2500
0.7500 0.7500 0.7500

***

16.
PBE Ac2PrTe, optimized geometry; symmetry = No. 123; energy relative to the lowest polymorph listed for this composition = 0.093 eV/atom; formation energy from raw total energies = -0.48 eV/atom
1.0
4.9398 0.0000 0.0000
0.0000 5.3301 0.0000
0.0000 0.0000 5.3301
Pr Ac Te
1 2 1
direct
0.5000 0.5000 0.5000
0.0000 0.0000 0.5000
0.0000 0.5000 0.0000
0.5000 0.0000 0.0000

***

17.
PBE AcPr2Te3, optimized geometry; symmetry = No. 115; energy relative to the lowest polymorph listed for this composition = 0.184 eV/atom; formation energy from raw total energies = -1.26 eV/atom
1.0
4.5132 0.0000 0.0000
0.0000 4.5132 0.0000
0.0000 0.0000 10.3328
Ac Pr Te
1 2 3
direct
0.5000 0.5000 0.0000
0.5000 0.0000 0.6210
0.0000 0.5000 0.3790
0.5000 0.0000 0.3119
0.0000 0.5000 0.6881
0.0000 0.0000 0.0000

***

18.
PBE Ac2PrTe, optimized geometry; symmetry = No. 166; energy relative to the lowest polymorph listed for this composition = 0.267 eV/atom; formation energy from raw total energies = -0.31 eV/atom
1.0
4.0993 0.0000 0.0000
2.0497 3.5501 0.0000
2.0497 1.1834 11.8351
Pr Ac Te
1 2 1
direct
0.0000 0.0000 0.0000
0.1020 0.1020 0.6940
0.8980 0.8980 0.3060
0.5000 0.5000 0.5000

***

19.
PBE AcPrTe3, optimized geometry; symmetry = No. 62; energy relative to the lowest polymorph listed for this composition = 0.054 eV/atom; formation energy from raw total energies = -1.49 eV/atom
1.0
-1.7811 -7.4515 -0.8474
2.2890 -1.4830 8.2291
-10.8559 2.2061 3.4172
Ac Pr Te
4 4 12
direct
0.9515 0.8874 0.7500
0.4515 0.6126 0.2500
0.5485 0.3874 0.7500
0.0485 0.1126 0.2500
0.5000 0.0000 0.0000
0.5000 0.0000 0.5000
0.0000 0.5000 0.0000
0.0000 0.5000 0.5000
0.6559 0.9488 0.2500
0.8441 0.4488 0.2500
0.1559 0.5512 0.7500
0.3441 0.0512 0.7500
0.6638 0.6798 0.5740
0.6638 0.6798 0.9260
0.8362 0.1798 0.5740
0.8362 0.1798 0.9260
0.1638 0.8202 0.4260
0.1638 0.8202 0.0740
0.3362 0.3202 0.0740
0.3362 0.3202 0.4260

***

20.
PBE AcPrTe2, optimized geometry; symmetry = No. 160; energy relative to the lowest polymorph listed for this composition = 0.022 eV/atom; formation energy from raw total energies = -1.44 eV/atom
1.0
-0.1586 2.0510 -3.9912
-1.3559 -2.2618 -3.6342
-8.1747 2.1799 -1.0807
Ac Pr Te
1 1 2
direct
0.6709 0.6709 0.9872
0.4955 0.4955 0.5134
0.0866 0.0866 0.7401
0.2469 0.2469 0.2593

***

21.
PBE AcPrTe4, optimized geometry; symmetry = No. 141; formation energy from raw total energies = -1.10 eV/atom
1.0
-2.6354 -2.8938 -6.3028
5.6119 -4.8515 -0.1191
-6.0972 -1.5675 7.6358
Ac Pr Te
2 2 8
direct
0.2500 0.7500 0.5000
0.5000 0.5000 0.0000
0.0000 0.0000 0.0000
0.7500 0.2500 0.5000
0.1153 0.1250 0.7500
0.8750 0.8847 0.2500
0.1153 0.6250 0.7500
0.3750 0.3653 0.2500
0.6347 0.1250 0.7500
0.6347 0.6250 0.7500
0.3750 0.8847 0.2500
0.8750 0.3653 0.2500